1.
The following is a PBE calculation of crystalline DyMg4Cd2 at its relaxed geometry, from Alexandria via LeMat-Bulk.

```
data_DyMg4Cd2
_chemical_formula_sum 'Dy4 Mg16 Cd8'
_space_group_name_H-M_alt 'F m m m'
_space_group_IT_number 69
_space_group_name_Hall '-F 2 2'
_cell_length_a 5.953
_cell_length_b 10.636
_cell_length_c 11.023
_cell_angle_alpha 90.00
_cell_angle_beta 90.00
_cell_angle_gamma 90.00
loop_
_atom_site_label
_atom_site_type_symbol
_atom_site_fract_x
_atom_site_fract_y
_atom_site_fract_z
Dy1 Dy 0.000 0.000 0.000
Mg1 Mg 0.250 0.250 0.000
Mg2 Mg 0.250 0.250 0.250
Cd1 Cd 0.000 0.000 0.345
```

Output
ΔE_f = 0.13 eV/atom
E_tot = -47.606 eV for the cell shown
Total moment = 0.00 Bohr magnetons per cell
Density of states at the Fermi level = 12.9 states/eV per cell
Excess energy over the best structure of this formula in the dataset = 235 meV/atom

=====

2.
The following is a PBE calculation of crystalline Dy2Mg3Cd at its relaxed geometry, from Alexandria via LeMat-Bulk.

```
data_Dy2Mg3Cd
_chemical_formula_sum 'Dy16 Mg24 Cd8'
_space_group_name_H-M_alt 'F m m m'
_space_group_IT_number 69
_space_group_name_Hall '-F 2 2'
_cell_length_a 6.595
_cell_length_b 10.342
_cell_length_c 17.816
_cell_angle_alpha 90.00
_cell_angle_beta 90.00
_cell_angle_gamma 90.00
loop_
_atom_site_label
_atom_site_type_symbol
_atom_site_fract_x
_atom_site_fract_y
_atom_site_fract_z
Dy1 Dy 0.249 0.000 0.000
Dy2 Dy 0.250 0.250 0.250
Mg1 Mg 0.000 0.000 0.332
Mg2 Mg 0.000 0.248 0.084
Cd1 Cd 0.000 0.000 0.166
```

Output
ΔE_f = -0.14 eV/atom
E_tot = -126.138 eV for the cell shown
Total moment = 0.00 Bohr magnetons per cell
Density of states at the Fermi level = 35.0 states/eV per cell
Excess energy over the best structure of this formula in the dataset = 0 meV/atom

=====

3.
The following is a PBE calculation of crystalline DyMg8Cd4 at its relaxed geometry, from Alexandria via LeMat-Bulk.

```
data_DyMg8Cd4
_chemical_formula_sum 'Dy2 Mg16 Cd8'
_space_group_name_H-M_alt 'I 4/m m m'
_space_group_IT_number 139
_space_group_name_Hall '-I 4 2'
_cell_length_a 9.996
_cell_length_b 9.996
_cell_length_c 5.911
_cell_angle_alpha 90.00
_cell_angle_beta 90.00
_cell_angle_gamma 90.00
loop_
_atom_site_label
_atom_site_type_symbol
_atom_site_fract_x
_atom_site_fract_y
_atom_site_fract_z
Dy1 Dy 0.000 0.000 0.000
Mg1 Mg 0.000 0.212 0.500
Mg2 Mg 0.000 0.349 0.000
Cd1 Cd 0.250 0.250 0.250
```

Output
ΔE_f = -0.11 eV/atom
E_tot = -44.972 eV for the cell shown
Total moment = 0.00 Bohr magnetons per cell
Density of states at the Fermi level = 10.6 states/eV per cell

=====

4.
The following is a PBE calculation of crystalline Dy5Mg4Cd2 at its relaxed geometry, from Alexandria via LeMat-Bulk.

```
data_Dy5Mg4Cd2
_chemical_formula_sum 'Dy10 Mg8 Cd4'
_space_group_name_H-M_alt 'P b a m'
_space_group_IT_number 55
_space_group_name_Hall '-P 2 2ab'
_cell_length_a 8.414
_cell_length_b 19.100
_cell_length_c 3.687
_cell_angle_alpha 90.00
_cell_angle_beta 90.00
_cell_angle_gamma 90.00
loop_
_atom_site_label
_atom_site_type_symbol
_atom_site_fract_x
_atom_site_fract_y
_atom_site_fract_z
Dy1 Dy 0.000 0.000 0.000
Dy2 Dy 0.116 0.426 0.000
Dy3 Dy 0.235 0.202 0.000
Mg1 Mg 0.090 0.851 0.500
Mg2 Mg 0.207 0.563 0.500
Cd1 Cd 0.037 0.300 0.500
```

Output
ΔE_f = -0.13 eV/atom
E_tot = -65.221 eV for the cell shown
Total moment = 0.00 Bohr magnetons per cell
Density of states at the Fermi level = 26.0 states/eV per cell

=====

5.
The following is a PBE calculation of crystalline DyMg2Cd at its relaxed geometry, from Alexandria via LeMat-Bulk.

```
data_DyMg2Cd
_chemical_formula_sum 'Dy1 Mg2 Cd1'
_space_group_name_H-M_alt 'P 4/m m m'
_space_group_IT_number 123
_space_group_name_Hall '-P 4 2'
_cell_length_a 3.393
_cell_length_b 3.393
_cell_length_c 8.457
_cell_angle_alpha 90.00
_cell_angle_beta 90.00
_cell_angle_gamma 90.00
loop_
_atom_site_label
_atom_site_type_symbol
_atom_site_fract_x
_atom_site_fract_y
_atom_site_fract_z
Dy1 Dy 0.000 0.000 0.000
Mg1 Mg 0.500 0.500 0.279
Cd1 Cd 0.000 0.000 0.500
```

Output
ΔE_f = -0.10 eV/atom
E_tot = -9.117 eV for the cell shown
Total moment = 0.00 Bohr magnetons per cell
Density of states at the Fermi level = 3.3 states/eV per cell
Excess energy over the best structure of this formula in the dataset = 92 meV/atom

=====

6.
The following is a PBE calculation of crystalline DyMg5Cd6 at its relaxed geometry, from Alexandria via LeMat-Bulk.

```
data_DyMg5Cd6
_chemical_formula_sum 'Dy2 Mg10 Cd12'
_space_group_name_H-M_alt 'C m m m'
_space_group_IT_number 65
_space_group_name_Hall '-C 2 2'
_cell_length_a 4.808
_cell_length_b 14.508
_cell_length_c 7.702
_cell_angle_alpha 90.00
_cell_angle_beta 90.00
_cell_angle_gamma 90.00
loop_
_atom_site_label
_atom_site_type_symbol
_atom_site_fract_x
_atom_site_fract_y
_atom_site_fract_z
Dy1 Dy 0.000 0.000 0.000
Mg1 Mg 0.000 0.000 0.500
Mg2 Mg 0.000 0.331 0.500
Mg3 Mg 0.000 0.334 0.000
Cd1 Cd 0.000 0.170 0.254
Cd2 Cd 0.000 0.500 0.266
```

Output
ΔE_f = -0.15 eV/atom
E_tot = -39.805 eV for the cell shown
Total moment = 0.00 Bohr magnetons per cell
Density of states at the Fermi level = 10.3 states/eV per cell